1.
{
  "formula": "MnIn2Se",
  "functional": "PBE-GGA",
  "state": "optimized geometry",
  "space_group": "No. 6",
  "crystal_system": "monoclinic",
  "cell": [[4.316, 0.000, 0.000], [0.000, 3.644, 0.000], [-2.151, 0.000, 5.788]],
  "species": ["Mn", "In", "In", "Se"],
  "frac_coords": [[0.000, 0.000, 0.000], [0.243, 0.000, 0.485], [0.563, 0.500, 0.127], [0.845, 0.500, 0.690]]
}

---

2.
{
  "formula": "BaGdMgIn",
  "functional": "PBE-GGA",
  "state": "optimized geometry",
  "space_group": "No. 216",
  "crystal_system": "cubic",
  "delta_e_f_mev_per_atom": -177.3,
  "cell": [[0.000, 4.043, 4.043], [4.043, 0.000, 4.043], [4.043, 4.043, 0.000]],
  "species": ["Ba", "Gd", "Mg", "In"],
  "frac_coords": [[0.000, 0.000, 0.000], [0.500, 0.500, 0.500], [0.750, 0.750, 0.750], [0.250, 0.250, 0.250]]
}

---

3.
{
  "formula": "Si2Te",
  "functional": "PBE-GGA",
  "state": "optimized geometry",
  "space_group": "No. 194",
  "crystal_system": "hexagonal",
  "e_above_lowest_polymorph_ev_per_atom": 0.266,
  "cell": [[3.817, 0.000, 0.000], [-1.908, 3.305, 0.000], [0.000, 0.000, 9.929]],
  "species": ["Si", "Si", "Si", "Si", "Te", "Te"],
  "frac_coords": [[0.333, 0.667, 0.053], [0.333, 0.667, 0.447], [0.667, 0.333, 0.553], [0.667, 0.333, 0.947], [0.000, 0.000, 0.250], [0.000, 0.000, 0.750]]
}

---

4.
{
  "formula": "ScAlTl2",
  "functional": "PBE-GGA",
  "state": "optimized geometry",
  "space_group": "No. 99",
  "crystal_system": "tetragonal",
  "delta_e_f_mev_per_atom": -12.0,
  "e_above_lowest_polymorph_ev_per_atom": 0.075,
  "cell": [[3.589, 0.000, 0.000], [0.000, 3.589, 0.000], [0.000, 0.000, 7.511]],
  "species": ["Sc", "Al", "Tl", "Tl"],
  "frac_coords": [[0.000, 0.000, 0.000], [0.500, 0.500, 0.801], [0.000, 0.000, 0.546], [0.500, 0.500, 0.255]]
}

---

5.
{
  "formula": "Ga2ClO2",
  "functional": "PBE-GGA",
  "state": "optimized geometry",
  "space_group": "No. 127",
  "crystal_system": "tetragonal",
  "e_above_lowest_polymorph_ev_per_atom": 0.947,
  "cell": [[7.077, 0.000, 0.000], [0.000, 7.077, 0.000], [0.000, 0.000, 2.791]],
  "species": ["Ga", "Ga", "Ga", "Ga", "Cl", "Cl", "O", "O", "O", "O"],
  "frac_coords": [[0.128, 0.372, 0.000], [0.372, 0.872, 0.000], [0.628, 0.128, 0.000], [0.872, 0.628, 0.000], [0.000, 0.000, 0.500], [0.500, 0.500, 0.500], [0.116, 0.616, 0.500], [0.384, 0.116, 0.500], [0.616, 0.884, 0.500], [0.884, 0.384, 0.500]]
}

---

6.
{
  "formula": "Tb3YEr2Tm6",
  "functional": "PBE-GGA",
  "state": "optimized geometry",
  "space_group": "No. 12",
  "crystal_system": "monoclinic",
  "delta_e_f_mev_per_atom": 24.0,
  "cell": [[3.048, -5.272, 0.000], [3.048, 5.272, 0.000], [-2.026, 0.000, 11.462]],
  "species": ["Tb", "Tb", "Tb", "Y", "Er", "Er", "Tm", "Tm", "Tm", "Tm", "Tm", "Tm"],
  "frac_coords": [[0.000, 0.000, 0.000], [0.333, 0.667, 0.000], [0.667, 0.333, 0.000], [0.500, 0.500, 0.500], [0.167, 0.833, 0.500], [0.833, 0.167, 0.500], [0.083, 0.417, 0.251], [0.249, 0.249, 0.749], [0.417, 0.083, 0.251], [0.583, 0.917, 0.749], [0.751, 0.751, 0.251], [0.917, 0.583, 0.749]]
}

---

7.
{
  "formula": "Y2HgIrC",
  "functional": "PBE-GGA",
  "state": "optimized geometry",
  "space_group": "No. 123",
  "crystal_system": "tetragonal",
  "delta_e_f_mev_per_atom": -564.7,
  "cell": [[5.085, 0.000, 0.000], [0.000, 5.085, 0.000], [0.000, 0.000, 3.897]],
  "species": ["Y", "Y", "Hg", "Ir", "C"],
  "frac_coords": [[0.000, 0.500, 0.000], [0.500, 0.000, 0.000], [0.000, 0.000, 0.500], [0.500, 0.500, 0.500], [0.500, 0.500, 0.000]]
}

---

8.
{
  "formula": "Nd2Tl3AgSe6",
  "functional": "PBE-GGA",
  "state": "optimized geometry",
  "space_group": "No. 12",
  "crystal_system": "monoclinic",
  "cell": [[3.711, -6.326, 0.000], [3.711, 6.326, 0.000], [-2.562, 0.000, 7.396]],
  "species": ["Nd", "Nd", "Tl", "Tl", "Tl", "Ag", "Se", "Se", "Se", "Se", "Se", "Se"],
  "frac_coords": [[0.165, 0.835, 0.000], [0.835, 0.165, 0.000], [0.000, 0.000, 0.500], [0.321, 0.679, 0.500], [0.679, 0.321, 0.500], [0.500, 0.500, 0.000], [0.108, 0.427, 0.787], [0.234, 0.234, 0.242], [0.427, 0.108, 0.787], [0.573, 0.892, 0.213], [0.766, 0.766, 0.758], [0.892, 0.573, 0.213]]
}

---

9.
{
  "formula": "PuPaBi2",
  "functional": "PBE-GGA",
  "state": "optimized geometry",
  "space_group": "No. 166",
  "crystal_system": "trigonal",
  "delta_e_f_mev_per_atom": -222.1,
  "e_above_lowest_polymorph_ev_per_atom": 0.000,
  "cell": [[2.261, 1.306, 7.354], [-2.261, 1.306, 7.354], [0.000, -2.611, 7.354]],
  "species": ["Pu", "Pa", "Bi", "Bi"],
  "frac_coords": [[0.000, 0.000, 0.000], [0.500, 0.500, 0.500], [0.249, 0.249, 0.249], [0.751, 0.751, 0.751]]
}

---

10.
{
  "formula": "KCuMo2",
  "functional": "PBE-GGA",
  "state": "optimized geometry",
  "space_group": "No. 12",
  "crystal_system": "monoclinic",
  "delta_e_f_mev_per_atom": 1194.4,
  "e_above_lowest_polymorph_ev_per_atom": 0.513,
  "cell": [[2.706, -5.460, 0.000], [2.706, 5.460, 0.000], [-0.701, 0.000, 2.491]],
  "species": ["K", "Cu", "Mo", "Mo"],
  "frac_coords": [[0.000, 0.000, 0.000], [0.500, 0.500, 0.000], [0.000, 0.500, 0.500], [0.500, 0.000, 0.500]]
}

---

11.
{
  "formula": "Li2PbW",
  "functional": "PBE-GGA",
  "state": "optimized geometry",
  "space_group": "No. 8",
  "crystal_system": "monoclinic",
  "delta_e_f_mev_per_atom": 526.0,
  "cell": [[5.308, -1.442, 0.000], [5.308, 1.442, 0.000], [-2.321, 0.000, 4.805]],
  "species": ["Li", "Li", "Pb", "W"],
  "frac_coords": [[0.000, 0.000, 0.000], [0.245, 0.245, 0.935], [0.497, 0.497, 0.494], [0.747, 0.747, 0.439]]
}

---

12.
{
  "formula": "La4Nd5Sc",
  "functional": "PBE-GGA",
  "state": "optimized geometry",
  "space_group": "No. 12",
  "crystal_system": "monoclinic",
  "delta_e_f_mev_per_atom": 73.7,
  "e_above_lowest_polymorph_ev_per_atom": 0.042,
  "cell": [[8.763, -1.797, 0.000], [8.763, 1.797, 0.000], [-3.937, 0.000, 11.054]],
  "species": ["La", "La", "La", "La", "Nd", "Nd", "Nd", "Nd", "Nd", "Sc"],
  "frac_coords": [[0.090, 0.090, 0.302], [0.396, 0.396, 0.208], [0.604, 0.604, 0.792], [0.910, 0.910, 0.698], [0.192, 0.192, 0.088], [0.203, 0.203, 0.607], [0.500, 0.500, 0.000], [0.797, 0.797, 0.393], [0.808, 0.808, 0.912], [0.500, 0.500, 0.500]]
}

---

13.
{
  "formula": "Na12Cu3H5",
  "functional": "PBE-GGA",
  "state": "optimized geometry",
  "space_group": "No. 230",
  "crystal_system": "cubic",
  "cell": [[-7.658, 7.658, 7.658], [7.658, -7.658, 7.658], [7.658, 7.658, -7.658]],
  "species": ["Na", "Na", "Na", "Na", "Na", "Na", "Na", "Na", "Na", "Na", "Na", "Na", "Na", "Na", "Na", "Na", "Na", "Na", "Na", "Na", "Na", "Na", "Na", "Na", "Na", "Na", "Na", "Na", "Na", "Na", "Na", "Na", "Na", "Na", "Na", "Na", "Na", "Na", "Na", "Na", "Na", "Na", "Na", "Na", "Na", "Na", "Na", "Na", "Cu", "Cu", "Cu", "Cu", "Cu", "Cu", "Cu", "Cu", "Cu", "Cu", "Cu", "Cu", "H", "H", "H", "H", "H", "H", "H", "H", "H", "H", "H", "H", "H", "H", "H", "H", "H", "H", "H", "H"],
  "frac_coords": [[0.023, 0.205, 0.120], [0.023, 0.317, 0.903], [0.086, 0.705, 0.683], [0.086, 0.880, 0.403], [0.097, 0.620, 0.414], [0.097, 0.977, 0.683], [0.120, 0.023, 0.205], [0.120, 0.597, 0.914], [0.183, 0.205, 0.586], [0.183, 0.477, 0.597], [0.205, 0.120, 0.023], [0.205, 0.586, 0.183], [0.295, 0.317, 0.914], [0.295, 0.477, 0.380], [0.317, 0.903, 0.023], [0.317, 0.914, 0.295], [0.380, 0.295, 0.477], [0.380, 0.586, 0.903], [0.403, 0.086, 0.880], [0.403, 0.817, 0.523], [0.414, 0.097, 0.620], [0.414, 0.817, 0.795], [0.477, 0.380, 0.295], [0.477, 0.597, 0.183], [0.523, 0.403, 0.817], [0.523, 0.620, 0.705], [0.586, 0.183, 0.205], [0.586, 0.903, 0.380], [0.597, 0.183, 0.477], [0.597, 0.914, 0.120], [0.620, 0.414, 0.097], [0.620, 0.705, 0.523], [0.683, 0.086, 0.705], [0.683, 0.097, 0.977], [0.705, 0.523, 0.620], [0.705, 0.683, 0.086], [0.795, 0.414, 0.817], [0.795, 0.880, 0.977], [0.817, 0.523, 0.403], [0.817, 0.795, 0.414], [0.880, 0.403, 0.086], [0.880, 0.977, 0.795], [0.903, 0.023, 0.317], [0.903, 0.380, 0.586], [0.914, 0.120, 0.597], [0.914, 0.295, 0.317], [0.977, 0.683, 0.097], [0.977, 0.795, 0.880], [0.125, 0.250, 0.375], [0.125, 0.375, 0.750], [0.250, 0.375, 0.125], [0.250, 0.875, 0.625], [0.375, 0.125, 0.250], [0.375, 0.750, 0.125], [0.625, 0.250, 0.875], [0.625, 0.875, 0.750], [0.750, 0.125, 0.375], [0.750, 0.625, 0.875], [0.875, 0.625, 0.250], [0.875, 0.750, 0.625], [0.000, 0.000, 0.000], [0.000, 0.000, 0.500], [0.000, 0.500, 0.000], [0.000, 0.500, 0.500], [0.125, 0.750, 0.875], [0.125, 0.875, 0.250], [0.250, 0.125, 0.875], [0.250, 0.625, 0.375], [0.375, 0.250, 0.625], [0.375, 0.625, 0.750], [0.500, 0.000, 0.000], [0.500, 0.000, 0.500], [0.500, 0.500, 0.000], [0.500, 0.500, 0.500], [0.625, 0.375, 0.250], [0.625, 0.750, 0.375], [0.750, 0.375, 0.625], [0.750, 0.875, 0.125], [0.875, 0.125, 0.750], [0.875, 0.250, 0.125]]
}

---

14.
{
  "formula": "LaIr2Se",
  "functional": "PBE-GGA",
  "state": "optimized geometry",
  "space_group": "No. 71",
  "crystal_system": "orthorhombic",
  "e_above_lowest_polymorph_ev_per_atom": 0.323,
  "cell": [[-1.556, 2.457, 4.930], [1.556, -2.457, 4.930], [1.556, 2.457, -4.930]],
  "species": ["La", "Ir", "Ir", "Se"],
  "frac_coords": [[0.000, 0.000, 0.000], [0.271, 0.771, 0.500], [0.729, 0.229, 0.500], [0.500, 0.500, 0.000]]
}

---

Computed raw total energy (eV/cell) in order:
-18.26; -21.05; -26.24; -14.85; -38.17; -56.02; -34.14; -51.14; -32.48; -22.08; -18.39; -49.14; -167.42; -27.06
Computed density (g cm⁻³) in order:
6.63; 5.45; 4.87; 8.25; 4.92; 8.63; 9.60; 7.09; 11.38; 6.64; 9.14; 6.30; 1.74; 13.27